PBE RbSeO2, optimized geometry; energy relative to the elements, uncorrected = -247 kJ/mol of formula units; DOS at the Fermi energy = 0.416 states/eV/atom; E_tot = -33.9 eV per cell
1.0
5.4829 0.0000 0.0000
0.0000 5.4829 0.0000
2.7415 2.7415 5.6441
O Se Rb
4 2 2
Direct
0.4821 0.1250 0.2500
0.8750 0.7321 0.7500
0.2679 0.6250 0.2500
0.3750 0.5179 0.7500
0.5000 0.5000 0.0000
0.2500 0.7500 0.5000
0.0000 0.0000 0.0000
0.7500 0.2500 0.5000